Density functional theory data (PBE with a Hubbard U) for a geometry-optimized MnTlTeO6 structure.

Cell and atoms, written as POSCAR:
```
MnTlTeO6
1.0
2.695 -4.457 0.000
2.695 4.457 0.000
-0.073 0.000 4.798
Mn Tl Te O
1 1 1 6
Cartesian
0.000 0.000 0.000
2.659 -1.495 2.399
2.695 1.456 0.000
0.995 1.364 1.028
1.934 2.953 3.727
3.384 2.953 1.071
1.747 0.162 3.669
3.570 0.162 1.129
4.322 1.364 3.770
```

Crystal system = monoclinic
DOS(E_F) = 0.713 states/eV/cell
Energy = -52.25 eV/cell